Material: Mg2TeO
Method: DFT, PBE
State: relaxed

Calculated values
- E_form (uncorrected) (eV per atom) = -1.60
- spin magnetization (μB per cell) = 0.00
- Fermi-level density of states (states/eV/cell) = 0.00

Cell lengths 5.8893, 5.8893, 6.2359 Å; angles 61.82, 61.82, 90.00 degrees
Last column: nearest neighbours and their distance in Å.
Atoms (fractional coordinates):
1 Mg 0.2439 0.6250 0.2500  2 O 2.03
2 Te 0.0000 0.0000 0.0000  4 Mg 2.87
3 Te 0.7500 0.2500 0.5000  4 Mg 2.87
4 Mg 0.3750 0.4939 0.7500  2 O 2.03
5 O 0.2500 0.7500 0.5000  4 Mg 2.03
6 Mg 0.5061 0.1250 0.2500  2 O 2.03
7 O 0.5000 0.5000 0.0000  4 Mg 2.03
8 Mg 0.8750 0.7561 0.7500  2 O 2.03